# 1
This record from the Alexandria database describes an optimized crystal structure of Be2SnF6. The functional is PBE.

```
Be2SnF6
1.0
4.000 -0.700 -2.022
-3.034 8.139 0.932
-0.364 1.069 8.662
Be Sn F
4 2 12
Direct
0.180 0.329 0.163
0.320 0.837 0.671
0.820 0.671 0.837
0.680 0.163 0.329
0.250 0.684 0.316
0.750 0.316 0.684
0.338 0.196 0.290
0.162 0.710 0.804
0.662 0.804 0.710
0.838 0.290 0.196
0.981 0.220 0.522
0.519 0.478 0.780
0.019 0.780 0.478
0.481 0.522 0.220
0.035 0.288 0.968
0.465 0.032 0.712
0.965 0.712 0.032
0.535 0.968 0.288
```

Density of states at the Fermi level (states/eV/cell): 0.0
Formation energy without anion corrections (eV per atom): -2.91
ΔE to the lowest computed polymorph (meV per atom): 0



# 2
This record from the Alexandria database describes an optimized crystal structure of LiSmIrPd. The functional is PBE.

```
LiSmIrPd
1.0
-0.166 -4.427 1.550
3.192 -3.118 -1.456
3.274 -1.570 2.974
Ir Pd Sm Li
1 1 1 1
Direct
0.000 0.000 0.000
0.500 0.500 0.500
0.750 0.750 0.750
0.250 0.250 0.250
```

Density of states at the Fermi level (states/eV/cell): 2.3



# 3
This record from the Alexandria database describes an optimized crystal structure of TbThCoNi. The functional is PBE.

```
TbThCoNi
1.0
4.852 0.000 0.000
2.426 4.202 0.000
2.426 1.401 3.962
Ni Tb Th Co
1 1 1 1
Direct
0.250 0.250 0.250
0.000 0.000 0.000
0.500 0.500 0.500
0.750 0.750 0.750
```

Density of states at the Fermi level (states/eV/cell): 5.3
ΔE to the lowest computed polymorph (meV per atom): 118



# 4
This record from the Alexandria database describes an optimized crystal structure of YGaSeBr2. The functional is PBE.

```
YGaSeBr2
1.0
5.599 0.000 0.000
0.000 5.599 0.000
0.000 0.000 5.505
Y Ga Se Br
1 1 1 2
Direct
0.000 0.000 0.000
0.500 0.500 0.500
0.000 0.000 0.500
0.000 0.500 0.000
0.500 0.000 0.000
```

Density of states at the Fermi level (states/eV/cell): 0.0
Formation energy without anion corrections (eV per atom): -1.12
ΔE to the lowest computed polymorph (meV per atom): 0



# 5
This record from the Alexandria database describes an optimized crystal structure of B3CS. The functional is PBE.

```
B3CS
1.0
3.522 0.000 0.000
0.000 3.522 0.000
0.000 0.000 3.522
S B C
1 3 1
Direct
0.500 0.500 0.500
0.000 0.500 0.000
0.000 0.000 0.500
0.500 0.000 0.000
0.000 0.000 0.000
```

Density of states at the Fermi level (states/eV/cell): 2.9
Formation energy without anion corrections (eV per atom): 1.78
ΔE to the lowest computed polymorph (meV per atom): 0



# 6
This record from the Alexandria database describes an optimized crystal structure of NaHf2GaP. The functional is PBE.

```
NaHf2GaP
1.0
-2.284 2.548 -3.452
-2.995 -3.729 -0.771
-3.062 1.770 3.333
P Hf Ga Na
1 2 1 1
Direct
0.000 0.000 0.000
0.000 0.000 0.500
0.500 0.000 0.000
0.500 0.500 0.500
0.000 0.500 0.000
```

Density of states at the Fermi level (states/eV/cell): 3.3
ΔE to the lowest computed polymorph (meV per atom): 0



# 7
This record from the Alexandria database describes an optimized crystal structure of U3Ru. The functional is PBE.

```
U3Ru
1.0
0.031 -4.570 2.578
5.409 -1.922 -0.492
4.108 2.109 3.843
U Ru
6 2
Direct
0.300 0.822 0.922
0.700 0.178 0.078
0.804 0.536 0.195
0.196 0.464 0.805
0.196 0.893 0.322
0.804 0.107 0.678
0.315 0.287 0.418
0.685 0.713 0.582
```

Density of states at the Fermi level (states/eV/cell): 14.9



# 8
This record from the Alexandria database describes an optimized crystal structure of KMoS3. The functional is PBE.

```
KMoS3
1.0
5.334 0.000 0.000
0.000 5.334 0.000
0.000 0.000 5.334
S Mo K
3 1 1
Direct
0.000 0.500 0.000
0.000 0.000 0.500
0.500 0.000 0.000
0.500 0.500 0.500
0.000 0.000 0.000
```

Density of states at the Fermi level (states/eV/cell): 8.0
Formation energy without anion corrections (eV per atom): 1.69
ΔE to the lowest computed polymorph (meV per atom): 2338



# 9
This record from the Alexandria database describes an optimized crystal structure of GaTeF. The functional is PBE.

```
GaTeF
1.0
-0.516 2.309 -3.410
-6.009 1.678 2.046
2.086 4.544 2.762
Ga Te F
2 2 2
Direct
0.657 0.392 0.683
0.157 0.894 0.573
0.157 0.515 0.420
0.657 0.008 0.836
0.157 0.054 0.308
0.657 0.544 0.948
```

Density of states at the Fermi level (states/eV/cell): 0.0
Formation energy without anion corrections (eV per atom): -1.29
ΔE to the lowest computed polymorph (meV per atom): 0



# 10
This record from the Alexandria database describes an optimized crystal structure of ScSnSeN2. The functional is PBE.

```
ScSnSeN2
1.0
-3.593 -1.118 1.684
0.539 -3.840 -1.400
2.593 -1.331 4.650
Sc Sn Se N
1 1 1 2
Direct
0.000 0.000 0.000
0.500 0.500 0.500
0.000 0.000 0.500
0.000 0.500 0.000
0.500 0.000 0.000
```

Density of states at the Fermi level (states/eV/cell): 4.7
Formation energy without anion corrections (eV per atom): 0.39
ΔE to the lowest computed polymorph (meV per atom): 0



# 11
This record from the Alexandria database describes an optimized crystal structure of Na2PuPbO4. The functional is PBE.

```
Na2PuPbO4
1.0
3.519 0.000 0.000
0.000 6.300 0.037
0.000 -2.241 5.603
Na Pu Pb O
2 1 1 4
Direct
0.500 0.000 0.500
0.000 0.500 0.500
0.500 0.500 0.000
0.000 0.000 0.000
0.500 0.296 0.219
0.500 0.704 0.781
0.000 0.281 0.780
0.000 0.719 0.220
```

Density of states at the Fermi level (states/eV/cell): 4.2
Formation energy without anion corrections (eV per atom): -1.95



# 12
This record from the Alexandria database describes an optimized crystal structure of Pr3NdEr3Se8. The functional is PBE.

```
Pr3NdEr3Se8
1.0
8.251 0.000 0.000
-4.126 7.144 -0.026
0.000 -4.740 6.849
Pr Nd Er Se
3 1 3 8
Direct
0.000 0.000 0.000
0.000 0.500 0.000
0.500 0.500 0.000
0.000 0.000 0.500
0.500 0.000 0.500
0.500 0.500 0.500
0.000 0.500 0.500
0.256 0.513 0.269
0.744 0.487 0.731
0.744 0.488 0.257
0.256 0.512 0.743
0.744 0.013 0.257
0.256 0.987 0.743
0.270 0.013 0.257
0.730 0.987 0.743
```

Density of states at the Fermi level (states/eV/cell): 6.7
Formation energy without anion corrections (eV per atom): -1.84



# 13
This record from the Alexandria database describes an optimized crystal structure of CeGaPdAu. The functional is PBE.

```
CeGaPdAu
1.0
-4.794 -0.776 0.113
-1.787 -3.816 2.417
-2.474 0.679 4.125
Ga Au Pd Ce
1 1 1 1
Direct
0.000 0.000 0.000
0.750 0.750 0.750
0.250 0.250 0.250
0.500 0.500 0.500
```

Density of states at the Fermi level (states/eV/cell): 6.2



# 14
This record from the Alexandria database describes an optimized crystal structure of HfAl2Zn4. The functional is PBE.

```
HfAl2Zn4
1.0
5.048 0.000 0.000
0.000 5.048 0.000
2.524 2.524 6.629
Zn Hf Al
4 1 2
Direct
0.207 0.207 0.585
0.793 0.793 0.415
0.000 0.500 0.000
0.500 0.000 0.000
0.000 0.000 0.000
0.399 0.399 0.203
0.601 0.601 0.797
```

Density of states at the Fermi level (states/eV/cell): 5.3



# 15
This record from the Alexandria database describes an optimized crystal structure of CrAgRu2. The functional is PBE.

```
CrAgRu2
1.0
-6.034 0.166 3.357
0.933 -6.545 2.001
-1.314 -2.346 4.861
Ru Ag Cr
4 2 2
Direct
0.568 0.125 0.250
0.182 0.625 0.250
0.375 0.432 0.750
0.875 0.818 0.750
0.000 0.000 0.000
0.750 0.250 0.500
0.500 0.500 0.000
0.250 0.750 0.500
```

Density of states at the Fermi level (states/eV/cell): 11.0
ΔE to the lowest computed polymorph (meV per atom): 431



# 16
This record from the Alexandria database describes an optimized crystal structure of LaCdCu. The functional is PBE.

```
LaCdCu
1.0
-2.525 -2.984 -2.809
1.942 -4.157 -1.454
-1.632 -4.168 1.770
Cd Cu La
1 1 1
Direct
0.500 0.500 0.500
0.750 0.750 0.750
0.000 0.000 0.000
```

Density of states at the Fermi level (states/eV/cell): 3.7



# 17
This record from the Alexandria database describes an optimized crystal structure of AcY2AsO8. The functional is PBE.

```
AcY2AsO8
1.0
4.397 0.266 0.149
0.368 5.444 0.345
0.287 0.535 7.160
Ac Y As O
1 2 1 8
Direct
0.000 0.000 0.500
0.426 0.443 0.745
0.574 0.557 0.255
0.000 0.000 0.000
0.079 0.744 0.205
0.614 0.892 0.988
0.872 0.221 0.167
0.921 0.256 0.795
0.386 0.108 0.012
0.128 0.779 0.833
0.566 0.730 0.510
0.434 0.270 0.490
```

Density of states at the Fermi level (states/eV/cell): 0.0
Formation energy without anion corrections (eV per atom): -2.45



# 18
This record from the Alexandria database describes an optimized crystal structure of YEr2Al2Ga2. The functional is PBE.

```
YEr2Al2Ga2
1.0
-2.042 3.747 0.261
-1.459 1.891 -3.546
-10.215 -3.125 -0.042
Y Er Al Ga
1 2 2 2
Direct
0.000 0.000 0.000
0.127 0.127 0.620
0.873 0.873 0.380
0.607 0.607 0.180
0.393 0.393 0.820
0.741 0.741 0.777
0.259 0.259 0.223
```

Density of states at the Fermi level (states/eV/cell): 5.2



# 19
This record from the Alexandria database describes an optimized crystal structure of MnNbRe2. The functional is PBE.

```
MnNbRe2
1.0
3.192 0.000 0.000
0.000 4.365 0.000
0.000 0.000 4.365
Re Nb Mn
2 1 1
Direct
0.000 0.000 0.500
0.000 0.500 0.000
0.500 0.500 0.500
0.500 0.000 0.000
```

Density of states at the Fermi level (states/eV/cell): 3.8



# 20
This record from the Alexandria database describes an optimized crystal structure of CsCoSi2Ni. The functional is PBE.

```
CsCoSi2Ni
1.0
5.520 0.000 0.000
0.000 4.731 0.000
0.000 0.000 5.520
Cs Ni Si Co
1 1 2 1
Direct
0.000 0.000 0.000
0.000 0.500 0.000
0.000 0.000 0.500
0.500 0.000 0.000
0.500 0.500 0.500
```

Density of states at the Fermi level (states/eV/cell): 18.6
Formation energy without anion corrections (eV per atom): 2.72



# 21
This record from the Alexandria database describes an optimized crystal structure of GdTmGaAg. The functional is PBE.

```
GdTmGaAg
1.0
-2.635 1.638 -4.057
-4.225 -2.466 -1.466
-4.577 2.175 0.636
Gd Tm Ga Ag
1 1 1 1
Direct
0.000 0.000 0.000
0.500 0.500 0.500
0.750 0.750 0.750
0.250 0.250 0.250
```

Density of states at the Fermi level (states/eV/cell): 2.9



# 22
This record from the Alexandria database describes an optimized crystal structure of Er6Cu2Sn. The functional is PBE.

```
Er6Cu2Sn
1.0
7.954 -0.099 -2.838
-4.291 6.888 -2.339
-0.028 0.099 8.445
Er Cu Sn
12 4 2
Direct
0.529 0.715 0.814
0.471 0.285 0.186
0.099 0.285 0.814
0.901 0.715 0.186
0.800 0.764 0.564
0.200 0.236 0.436
0.200 0.764 0.964
0.800 0.236 0.036
0.692 0.371 0.678
0.308 0.629 0.322
0.308 0.986 0.678
0.692 0.014 0.322
0.500 0.381 0.881
0.500 0.619 0.119
0.651 0.000 0.651
0.349 0.000 0.349
0.000 0.500 0.500
0.000 0.000 0.000
```

Density of states at the Fermi level (states/eV/cell): 13.6



# 23
This record from the Alexandria database describes an optimized crystal structure of CaY2Be. The functional is PBE.

```
CaY2Be
1.0
5.362 0.000 0.000
2.681 4.643 0.000
2.681 1.548 4.378
Y Be Ca
2 1 1
Direct
0.000 0.000 0.000
0.250 0.250 0.250
0.500 0.500 0.500
0.750 0.750 0.750
```

Density of states at the Fermi level (states/eV/cell): 3.2



# 24
This record from the Alexandria database describes an optimized crystal structure of Al2RhSe. The functional is PBE.

```
Al2RhSe
1.0
4.524 0.000 0.000
0.000 4.520 0.000
0.000 0.000 3.124
Rh Al Se
1 2 1
Direct
0.500 0.000 0.500
0.000 0.000 0.000
0.500 0.500 0.000
0.000 0.500 0.500
```

Density of states at the Fermi level (states/eV/cell): 2.0
Formation energy without anion corrections (eV per atom): -0.24



# 25
This record from the Alexandria database describes an optimized crystal structure of Ca2EuPd. The functional is PBE.

```
Ca2EuPd
1.0
3.922 0.000 0.000
1.961 3.396 0.000
1.961 1.132 10.972
Eu Ca Pd
1 2 1
Direct
0.000 0.000 0.000
0.114 0.114 0.659
0.886 0.886 0.341
0.500 0.500 0.500
```

Density of states at the Fermi level (states/eV/cell): 3.1
ΔE to the lowest computed polymorph (meV per atom): 161



# 26
This record from the Alexandria database describes an optimized crystal structure of CuMoPb2. The functional is PBE.

```
CuMoPb2
1.0
5.666 0.003 0.000
2.712 4.974 0.000
-4.189 -2.489 2.891
Cu Mo Pb
1 1 2
Direct
0.500 0.500 0.000
0.750 0.250 0.500
0.000 0.000 0.000
0.250 0.750 0.500
```

Density of states at the Fermi level (states/eV/cell): 2.0
ΔE to the lowest computed polymorph (meV per atom): 228



| no. | DFT total energy (eV for the cell shown) | magnetization (μB per formula unit) | V (Å³/atom) |
| --- | --- | --- | --- |
| 1 | -97.827 | 0.000 | 14.47 |
| 2 | -22.342 | 0.000 | 18.28 |
| 3 | -25.827 | 0.000 | 20.19 |
| 4 | -21.902 | 0.000 | 34.51 |
| 5 | -24.462 | 0.000 | 8.73 |
| 6 | -29.550 | 0.000 | 22.89 |
| 7 | -87.410 | 0.000 | 19.23 |
| 8 | -15.855 | 1.000 | 30.35 |
| 9 | -23.849 | 0.000 | 25.94 |
| 10 | -28.526 | 0.417 | 18.66 |
| 11 | -56.079 | 4.000 | 15.56 |
| 12 | -88.256 | 0.000 | 26.85 |
| 13 | -19.800 | 0.423 | 20.26 |
| 14 | -18.140 | 0.001 | 24.13 |
| 15 | -56.791 | 0.000 | 15.78 |
| 16 | -10.418 | 0.000 | 26.28 |
| 17 | -90.713 | 0.000 | 14.14 |
| 18 | -31.799 | 0.000 | 23.50 |
| 19 | -44.174 | 2.335 | 15.20 |
| 20 | -11.011 | 1.870 | 28.83 |
| 21 | -26.260 | 7.344 | 23.54 |
| 22 | -84.657 | 0.000 | 25.64 |
| 23 | -16.829 | 0.000 | 27.25 |
| 24 | -19.288 | 0.000 | 15.97 |
| 25 | -20.215 | 7.549 | 36.53 |
| 26 | -19.690 | 1.068 | 20.36 |